DFT (PBE-GGA) results for Te7Pt6 after structural relaxation.

a b c (Å): 6.5654 6.5654 26.4070
angles (deg): 90.00 90.00 120.00
Space group R-3m (No. 166, hexagonal axes)
One atom of each set of equivalent atoms:
Te1 0.0000 0.0000 0.0000 [3 per cell]
Te2 0.0098 0.5049 0.4238 [18 per cell]
Pt1 0.0000 0.0000 0.1660 [6 per cell]
Pt2 0.0000 0.0000 0.3177 [6 per cell]
Pt3 0.0000 0.0000 0.4161 [6 per cell]

Properties
E_form (uncorrected)   0.42 eV per atom